Material: AcDy7Ho2
Method: DFT, PBE-GGA
State: relaxed

a = 5.4622 Å, b = 8.9623 Å, c = 9.5402 Å
α = 118.03°, β = 106.63°, γ = 52.42°
Element x y z (fractional)
Dy 0.9998 0.2033 0.4070
Dy 0.0002 0.7967 0.5930
Dy 0.7547 0.6337 0.7767
Dy 0.5000 0.5000 0.0000
Dy 0.2453 0.3663 0.2233
Dy 0.2451 0.1431 0.7767
Dy 0.7549 0.8569 0.2233
Ho 0.4993 0.3006 0.6011
Ho 0.5007 0.6994 0.3989
Ac 0.0000 0.0000 0.0000

Summary:
As for the crystal system: monoclinic. The excess energy over the best structure of this formula in the dataset comes out at 0 meV/atom. The formation enthalpy at 0 K comes out at 1.3 kcal/mol of atoms.